# 1
First-principles (PBE) data for a geometry-optimized FeCuOs2 structure, as listed in Alexandria.

abc: 2.6336 2.6336 8.8804
angles: 90.00 90.00 117.04
Last column: nearest neighbours and their distance in Å.
Positions (direct):
Fe: 0.0000 0.0000 0.0000  2 Cu 2.52, 2 Os 2.56, 6 Fe 2.63-2.75
Cu: 0.5000 0.5000 0.2372  2 Fe 2.52, 6 Cu 2.63-2.75, 2 Os 2.67
Os: 0.0000 0.0000 0.4944  8 Os 2.63-2.75, 2 Cu 2.67
Os: 0.5000 0.5000 0.7564  2 Fe 2.56, 8 Os 2.63-2.75

Computed properties:
Excess energy over the best structure of this formula in the dataset in eV/atom: 0.262
Energy of formation in meV/atom: 465

=====

# 2
First-principles (PBE) data for a geometry-optimized Na3TmTe2Se6 structure, as listed in Alexandria.

abc: 7.2213 7.2213 7.3952
angles: 101.88 101.88 114.04
Last column: nearest neighbours and their distance in Å.
Positions (direct):
Na: 0.0000 0.0000 0.0000  6 Se 3.11-3.38
Na: 0.3297 0.6703 0.0000  6 Se 3.04-3.07
Na: 0.6703 0.3297 0.0000  6 Se 3.04-3.07
Tm: 0.5000 0.5000 0.5000  6 Se 2.82-2.96
Te: 0.1727 0.8273 0.5000  4 Se 2.71-2.90
Te: 0.8273 0.1727 0.5000  4 Se 2.71-2.90
Se: 0.1131 0.4524 0.2632  1 Te 2.71, 1 Tm 2.82, 2 Na 3.04
Se: 0.2503 0.2503 0.7152  2 Te 2.90, 1 Tm 2.96, 2 Na 3.07
Se: 0.4524 0.1131 0.2632  1 Te 2.71, 1 Tm 2.82, 2 Na 3.04
Se: 0.5476 0.8869 0.7368  1 Te 2.71, 1 Tm 2.82, 2 Na 3.04
Se: 0.7497 0.7497 0.2848  2 Te 2.90, 1 Tm 2.96, 2 Na 3.07
Se: 0.8869 0.5476 0.7368  1 Te 2.71, 1 Tm 2.82, 2 Na 3.04

Computed properties:
ΔE_f (raw) in eV per formula unit: -9.5

=====

# 3
First-principles (PBE) data for a geometry-optimized Pm11Ho9Th4 structure, as listed in Alexandria.

abc: 15.3671 15.3671 3.7044
angles: 90.00 90.00 112.92
Last column: nearest neighbours and their distance in Å.
Positions (direct):
Pm: 0.0000 0.0000 0.0000  8 Ho 3.53, 2 Pm 3.70
Pm: 0.0453 0.4082 0.0000  2 Th 3.38, 6 Ho 3.53-3.73, 3 Pm 3.60-3.70
Pm: 0.1582 0.8418 0.0000  5 Pm 3.70-4.05, 8 Ho 3.71
Pm: 0.2922 0.2922 0.0000  4 Th 3.32, 4 Ho 3.70, 2 Pm 3.70
Pm: 0.3675 0.6325 0.0000  4 Th 3.34, 4 Ho 3.66, 2 Pm 3.70
Pm: 0.4082 0.0453 0.0000  2 Th 3.38, 6 Ho 3.53-3.73, 3 Pm 3.60-3.70
Pm: 0.5918 0.9547 0.0000  2 Th 3.38, 6 Ho 3.53-3.73, 3 Pm 3.60-3.70
Pm: 0.6325 0.3675 0.0000  4 Th 3.34, 4 Ho 3.66, 2 Pm 3.70
Pm: 0.7078 0.7078 0.0000  4 Th 3.32, 4 Ho 3.70, 2 Pm 3.70
Pm: 0.8418 0.1582 0.0000  5 Pm 3.70-4.05, 8 Ho 3.71
Pm: 0.9547 0.5918 0.0000  2 Th 3.38, 6 Ho 3.53-3.73, 3 Pm 3.60-3.70
Ho: 0.0662 0.2115 0.5000  8 Pm 3.53-3.71, 1 Th 3.55, 3 Ho 3.70-3.72
Ho: 0.1630 0.6344 0.5000  3 Ho 3.44-3.70, 8 Pm 3.53-3.73, 1 Th 3.55
Ho: 0.2115 0.0662 0.5000  8 Pm 3.53-3.71, 1 Th 3.55, 3 Ho 3.70-3.72
Ho: 0.3656 0.8370 0.5000  3 Ho 3.44-3.70, 8 Pm 3.53-3.73, 1 Th 3.55
Ho: 0.5000 0.5000 0.5000  2 Ho 3.70, 4 Th 3.74, 8 Pm 3.87-3.99
Ho: 0.6344 0.1630 0.5000  3 Ho 3.44-3.70, 8 Pm 3.53-3.73, 1 Th 3.55
Ho: 0.7885 0.9338 0.5000  8 Pm 3.53-3.71, 1 Th 3.55, 3 Ho 3.70-3.72
Ho: 0.8370 0.3656 0.5000  3 Ho 3.44-3.70, 8 Pm 3.53-3.73, 1 Th 3.55
Ho: 0.9338 0.7885 0.5000  8 Pm 3.53-3.71, 1 Th 3.55, 3 Ho 3.70-3.72
Th: 0.2409 0.4451 0.5000  6 Pm 3.32-3.38, 2 Ho 3.55, 2 Th 3.70
Th: 0.4451 0.2409 0.5000  6 Pm 3.32-3.38, 2 Ho 3.55, 2 Th 3.70
Th: 0.5549 0.7591 0.5000  6 Pm 3.32-3.38, 2 Ho 3.55, 2 Th 3.70
Th: 0.7591 0.5549 0.5000  6 Pm 3.32-3.38, 2 Ho 3.55, 2 Th 3.70

Computed properties:
Energy of formation in meV/atom: 113

=====

# 4
First-principles (PBE) data for a geometry-optimized SrSmHo4S8 structure, as listed in Alexandria.

abc: 8.1926 8.1926 8.1926
angles: 59.56 59.56 59.56
Last column: nearest neighbours and their distance in Å.
Positions (direct):
Sr: 0.0000 0.0000 0.0000  4 S 2.78-2.79
Sm: 0.6278 0.6278 0.6278  6 S 2.76-2.88
Ho: 0.1205 0.6278 0.6278  6 S 2.69-2.82
Ho: 0.2513 0.2513 0.2513  4 S 2.63-2.67
Ho: 0.6278 0.1205 0.6278  6 S 2.69-2.82
Ho: 0.6278 0.6278 0.1205  6 S 2.69-2.82
S: 0.3792 0.3792 0.8561  3 Ho 2.63-2.81, 1 Sm 2.88
S: 0.3792 0.8561 0.3792  3 Ho 2.63-2.81, 1 Sm 2.88
S: 0.3838 0.3838 0.3838  4 Ho 2.67-2.82
S: 0.4174 0.8661 0.8661  2 Ho 2.69, 1 Sm 2.76, 1 Sr 2.78
S: 0.8561 0.3792 0.3792  3 Ho 2.63-2.81, 1 Sm 2.88
S: 0.8613 0.8613 0.8613  3 Ho 2.70, 1 Sr 2.79
S: 0.8661 0.4174 0.8661  2 Ho 2.69, 1 Sm 2.76, 1 Sr 2.78
S: 0.8661 0.8661 0.4174  2 Ho 2.69, 1 Sm 2.76, 1 Sr 2.78

Computed properties:
ΔE_f (raw) in eV per formula unit: -27.8

=====

# 5
First-principles (PBE) data for a geometry-optimized TaZn2Ir structure, as listed in Alexandria.

abc: 4.8158 4.8158 4.7527
angles: 100.24 100.24 34.85
Last column: nearest neighbours and their distance in Å.
Positions (direct):
Ta: 0.0000 0.0000 0.0000  6 Zn 2.76-2.84, 4 Ir 2.78, 2 Ta 2.88
Zn: 0.2443 0.2443 0.7385  6 Zn 2.71-2.88, 3 Ir 2.73-2.79, 3 Ta 2.76-2.84
Zn: 0.7557 0.7557 0.2615  6 Zn 2.71-2.88, 3 Ir 2.73-2.79, 3 Ta 2.76-2.84
Ir: 0.5000 0.5000 0.5000  6 Zn 2.73-2.79, 4 Ta 2.78, 2 Ir 2.88

Computed properties:
Energy of formation in meV/atom: -121

=====

# 6
First-principles (PBE) data for a geometry-optimized MnHgPbCl6 structure, as listed in Alexandria.

abc: 6.7676 6.7676 12.5320
angles: 90.00 90.00 120.00
Last column: nearest neighbours and their distance in Å.
Positions (direct):
Mn: 0.3333 0.6667 0.2500  6 Cl 2.54
Mn: 0.6667 0.3333 0.7500  6 Cl 2.54
Hg: 0.3333 0.6667 0.7500  6 Cl 2.71
Hg: 0.6667 0.3333 0.2500  6 Cl 2.71
Pb: 0.0000 0.0000 0.0000  6 Cl 2.94
Pb: 0.0000 0.0000 0.5000  6 Cl 2.94
Cl: 0.0196 0.3671 0.1332  1 Mn 2.54, 1 Hg 2.71
Cl: 0.0196 0.6524 0.3668  1 Mn 2.54, 1 Hg 2.71
Cl: 0.3476 0.3671 0.3668  1 Mn 2.54, 1 Hg 2.71
Cl: 0.3476 0.9804 0.1332  1 Mn 2.54, 1 Hg 2.71
Cl: 0.3671 0.0196 0.6332  1 Mn 2.54, 1 Hg 2.71
Cl: 0.3671 0.3476 0.8668  1 Mn 2.54, 1 Hg 2.71
Cl: 0.6329 0.6524 0.1332  1 Mn 2.54, 1 Hg 2.71
Cl: 0.6329 0.9804 0.3668  1 Mn 2.54, 1 Hg 2.71
Cl: 0.6524 0.0196 0.8668  1 Mn 2.54, 1 Hg 2.71
Cl: 0.6524 0.6329 0.6332  1 Mn 2.54, 1 Hg 2.71
Cl: 0.9804 0.3476 0.6332  1 Mn 2.54, 1 Hg 2.71
Cl: 0.9804 0.6329 0.8668  1 Mn 2.54, 1 Hg 2.71

Computed properties:
ΔE_f (raw) in eV per formula unit: -8.3

=====

| no. | final energy (eV per atom) |
| --- | --- |
| 1 | -8.29 |
| 2 | -3.76 |
| 3 | -5.02 |
| 4 | -6.11 |
| 5 | -5.94 |
| 6 | -3.62 |